1.
## H3Pd2 (PBE-GGA)

Data for H3Pd2 after structural relaxation.

a b c (Å): 6.908 4.815 4.862
angles (deg): 90.00 90.00 90.00
Fractional positions:
H  0.000  0.037  0.250
H  0.000  0.963  0.750
H  0.144  0.387  0.618
H  0.144  0.613  0.118
H  0.356  0.113  0.118
H  0.356  0.887  0.618
H  0.500  0.463  0.750
H  0.500  0.537  0.250
H  0.644  0.113  0.382
H  0.644  0.887  0.882
H  0.856  0.387  0.882
H  0.856  0.613  0.382
Pd  0.123  0.249  0.988
Pd  0.123  0.751  0.488
Pd  0.377  0.251  0.488
Pd  0.377  0.749  0.988
Pd  0.623  0.251  0.012
Pd  0.623  0.749  0.512
Pd  0.877  0.249  0.512
Pd  0.877  0.751  0.012

## Properties
Crystal system ... orthorhombic
Offset from the most stable computed form ... 0 meV per atom
Density of states at the Fermi level ... 1.970 states/eV/f.u.

***

2.
## HPd3 (PBE-GGA)

Data for HPd3 after structural relaxation.

a b c (Å): 3.933 3.933 7.041
angles (deg): 90.00 90.00 90.00
Fractional positions:
H  0.000  0.000  0.000
H  0.500  0.500  0.500
Pd  0.000  0.000  0.500
Pd  0.000  0.500  0.250
Pd  0.000  0.500  0.750
Pd  0.500  0.000  0.250
Pd  0.500  0.000  0.750
Pd  0.500  0.500  0.000

## Properties
Crystal system ... tetragonal
Offset from the most stable computed form ... 483 meV per atom
Density of states at the Fermi level ... 5.317 states/eV/f.u.

***

3.
## H5Pd8 (PBE-GGA)

Data for H5Pd8 after structural relaxation.

a b c (Å): 5.522 5.522 6.858
angles (deg): 125.79 125.79 62.68
Fractional positions:
H  0.000  0.000  0.000
H  0.249  0.751  0.500
H  0.300  0.300  0.006
H  0.700  0.700  0.994
H  0.751  0.249  0.500
Pd  0.042  0.042  0.337
Pd  0.044  0.546  0.833
Pd  0.454  0.454  0.660
Pd  0.454  0.956  0.167
Pd  0.546  0.044  0.833
Pd  0.546  0.546  0.340
Pd  0.956  0.454  0.167
Pd  0.958  0.958  0.663

## Properties
Crystal system ... monoclinic
Total energy ... -4.5615 eV/atom
Density of states at the Fermi level ... 11.154 states/eV/f.u.